Record 1
A geometry-optimized GaHgBr3 structure, computed with PBE.

```
20
Lattice="-4.3610 -2.9673 5.1510 1.2461 -9.8336 -4.6098 8.9051 -1.4317 6.7147" Properties=species:S:1:pos:R:3 pbc="T T T"
Br -1.2383 -6.2334 2.0436
Hg 4.1863 -5.9547 2.6402
Ga 5.6574 -11.1510 0.3545
Br 5.3721 -10.5995 7.5878
Br 2.9708 -1.6739 2.9574
Br 1.7379 -7.4093 -0.2007
Br 4.0522 -6.8233 7.4565
Br 5.5327 -3.2319 5.5025
Hg 0.2643 -10.2186 -2.9128
Ga 0.1328 -3.0816 6.9013
Br 2.8194 -12.5586 4.2984
Ga 5.7453 -8.3489 7.3195
Br 7.0284 -7.9992 5.2122
Hg 1.6039 -8.2779 4.6156
Ga 0.0448 -5.8837 -0.0637
Br 4.4760 -9.9581 1.9224
Br 1.3141 -4.2745 5.3334
Hg 5.5259 -4.0140 10.1686
Br 0.4180 -3.6331 -0.3320
Br 0.2574 -11.0006 1.7533
```

Results
E_form (uncorrected)	-0.619	eV/atom
energy relative to the lowest polymorph listed for this composition	0.0000	eV/atom
VASP energy	-2.289	eV/atom
SG	P2_1/c, No. 14



Record 2
A geometry-optimized GaHgBr2 structure, computed with PBE.

```
4
Lattice="-4.3796 10.4551 1.9838 -5.9085 8.5282 4.9785 -2.3248 9.9807 5.2352" Properties=species:S:1:pos:R:3 pbc="T T T"
Ga -6.3065 14.4820 6.0987
Br -1.4885 3.4181 1.4395
Hg 0.0000 0.0000 0.0000
Br -11.1245 25.5458 10.7580
```

Results
E_form (uncorrected)	-0.358	eV/atom
energy relative to the lowest polymorph listed for this composition	0.0809	eV/atom
VASP energy	-2.026	eV/atom
SG	R-3m, No. 166



Record 3
A geometry-optimized GaHg2Br structure, computed with PBE.

```
4
Lattice="4.2333 0.0000 0.0000 2.1167 3.6662 0.0000 2.1167 1.2221 7.4656" Properties=species:S:1:pos:R:3 pbc="T T T"
Hg 2.1167 1.2221 1.6609
Br 4.2333 2.4441 3.7883
Ga 6.3500 3.6662 7.4214
Hg 2.1167 1.2221 5.7932
```

Results
E_form (uncorrected)	-0.140	eV/atom
energy relative to the lowest polymorph listed for this composition	0.1100	eV/atom
VASP energy	-1.466	eV/atom
SG	R3m, No. 160



Record 4
A geometry-optimized Ga2Hg2Br structure, computed with PBE.

```
5
Lattice="-0.3086 -0.5155 5.2889 4.6598 -2.5729 0.0211 4.5310 2.7263 3.2087" Properties=species:S:1:pos:R:3 pbc="T T T"
Hg 2.9001 -0.2307 2.8253
Ga 3.1990 0.3333 5.5763
Br 0.0000 0.0000 0.0000
Hg 5.9821 -0.1314 5.6934
Ga 5.6832 -0.6954 2.9424
```

Results
E_form (uncorrected)	-0.039	eV/atom
energy relative to the lowest polymorph listed for this composition	0.0000	eV/atom
VASP energy	-1.705	eV/atom
SG	I4/mmm, No. 139



Record 5
A geometry-optimized Ga2HgBr2 structure, computed with PBE.

```
5
Lattice="-4.7121 3.3075 0.7730 -2.7144 -4.4615 2.5432 7.1874 3.4727 7.1295" Properties=species:S:1:pos:R:3 pbc="T T T"
Br -1.6730 1.1235 6.8187
Ga -0.6190 3.1016 4.7803
Hg 0.0000 0.0000 0.0000
Br 1.4339 1.1952 3.6270
Ga 0.3799 -0.7829 5.6654
```

Results
E_form (uncorrected)	-0.302	eV/atom
VASP energy	-2.242	eV/atom
SG	I4/mmm, No. 139



Record 6
A geometry-optimized GaHg2Br structure, computed with PBE.

```
8
Lattice="-0.6970 -4.1872 -1.6481 3.4193 -1.3333 1.9413 -7.1372 -2.6235 10.7698" Properties=species:S:1:pos:R:3 pbc="T T T"
Hg -0.9302 -3.8275 1.2296
Ga -3.7943 -3.0668 6.7969
Hg 1.8317 -2.1260 1.9733
Br -2.1936 -5.7293 6.5889
Hg -6.2466 -6.0180 9.0896
Hg -3.4847 -4.3165 9.8333
Ga -0.6206 -5.0772 4.2660
Br -2.2212 -2.4147 4.4740
```

Results
E_form (uncorrected)	-0.250	eV/atom
energy relative to the lowest polymorph listed for this composition	0.0000	eV/atom
VASP energy	-1.576	eV/atom
SG	P2_1/m, No. 11



Record 7
A geometry-optimized GaHg2Br8 structure, computed with PBE.

```
11
Lattice="6.5692 0.3363 0.2795 0.6528 8.0290 -0.9668 0.6528 0.5173 8.0704" Properties=species:S:1:pos:R:3 pbc="T T T"
Br 5.7865 6.3728 0.0508
Hg 5.3070 6.8102 5.6605
Br 5.7765 4.7990 3.9889
Br 2.0883 7.6675 1.1270
Br 5.2121 2.0657 1.7170
Br 5.7865 1.2151 6.2561
Br 2.0883 2.5098 7.3322
Hg 2.5677 2.0724 1.7225
Ga 0.0000 0.0000 0.0000
Br 2.0983 4.0835 3.3942
Br 2.6627 6.8169 5.6661
```

Results
E_form (uncorrected)	-0.415	eV/atom
energy relative to the lowest polymorph listed for this composition	0.0000	eV/atom
VASP energy	-1.962	eV/atom
SG	C2/m, No. 12



Record 8
A geometry-optimized GaHgIBr2 structure, computed with PBE.

```
5
Lattice="-2.2458 4.1890 -3.5266 -6.0424 -2.2392 1.1881 -0.4456 3.6593 4.6304" Properties=species:S:1:pos:R:3 pbc="T T T"
Br -1.1229 2.0945 -1.7633
Ga -4.3669 2.8045 1.1459
Br -0.2228 1.8296 2.3152
Hg -3.0212 -1.1196 0.5941
I 0.0000 0.0000 0.0000
```

Results
E_form (uncorrected)	0.152	eV/atom
VASP energy	-1.493	eV/atom
SG	P4/mmm, No. 123



Record 9
A geometry-optimized Ga2HgI6Br2 structure, computed with PBE.

```
11
Lattice="-0.7319 -2.4750 -6.9287 6.5383 2.5277 2.3514 2.6093 -9.7245 3.1981" Properties=species:S:1:pos:R:3 pbc="T T T"
Ga 2.3606 -3.3012 -3.0152
Br 2.9299 -5.4226 -2.3175
I 4.3364 -1.6573 -2.4684
Ga 6.0551 -6.3705 1.6360
I 6.7257 -0.0074 0.5992
I 4.0793 -8.0144 1.0892
I 2.6530 -0.8622 1.3230
I 1.6901 -9.6644 -1.9783
Hg 0.0000 0.0000 0.0000
Br 5.4859 -4.2491 0.9384
I 5.7627 -8.8096 -2.7022
```

Results
E_form (uncorrected)	-0.460	eV/atom
VASP energy	-2.188	eV/atom
SG	P-3, No. 147



Record 10
A geometry-optimized InGaHg2Br structure, computed with PBE.

```
5
Lattice="-1.2346 -3.8708 -3.4384 4.8285 -2.1366 0.6715 -2.0190 -3.2021 4.3298" Properties=species:S:1:pos:R:3 pbc="T T T"
Ga 0.0000 0.0000 0.0000
Hg 2.4142 -1.0683 0.3357
Hg -0.6173 -1.9354 -1.7192
In 0.7874 -4.6048 0.7814
Br -1.0095 -1.6011 2.1649
```

Results
E_form (uncorrected)	-0.085	eV/atom
energy relative to the lowest polymorph listed for this composition	0.0543	eV/atom
VASP energy	-1.693	eV/atom
SG	P4/mmm, No. 123



Record 11
A geometry-optimized InGaHgBr structure, computed with PBE.

```
4
Lattice="5.3936 0.0000 0.0000 2.6968 4.6710 0.0000 2.6968 1.5570 4.4038" Properties=species:S:1:pos:R:3 pbc="T T T"
In 0.0000 0.0000 0.0000
Ga 5.3936 3.1140 2.2019
Br 2.6968 1.5570 1.1010
Hg 8.0903 4.6710 3.3029
```

Results
E_form (uncorrected)	-0.079	eV/atom
VASP energy	-2.014	eV/atom
SG	F-43m, No. 216



Record 12
A geometry-optimized InGaHg2Br4 structure, computed with PBE.

```
16
Lattice="7.8006 0.0000 0.0000 3.9003 6.6863 0.0000 3.9003 0.0000 14.4156" Properties=species:S:1:pos:R:3 pbc="T T T"
Hg 9.7508 3.3432 2.2357
Br 14.0371 5.3073 12.9410
Ga 5.8505 3.3432 7.2078
In 9.7508 3.3432 7.2078
In 0.0000 0.0000 0.0000
Br 5.4645 1.3790 12.9410
Br 5.4645 5.3073 1.4747
Ga 3.9003 0.0000 0.0000
Br 8.1866 4.7222 5.7331
Hg 3.9003 0.0000 9.4435
Br 11.3150 4.7222 8.6825
Br 6.2365 1.3790 1.4747
Hg 7.8006 0.0000 4.9722
Br 3.5143 1.9642 5.7331
Hg 9.7508 3.3432 12.1800
Br 8.1866 1.9642 8.6825
```

Results
E_form (uncorrected)	-0.485	eV/atom
VASP energy	-2.117	eV/atom
SG	Fddd, No. 70